Entry 1:
Computed, not measured: an optimized crystal structure of PmAl2Pt5 at the PBE-GGA level of DFT.

abc: 3.920 6.466 6.466
angles: 66.90 72.35 72.35
Fractional positions:
Pm: 0.000 0.000 0.000
Al: 0.757 0.743 0.743
Al: 0.243 0.257 0.257
Pt: 0.000 0.500 0.500
Pt: 0.643 0.557 0.156
Pt: 0.357 0.443 0.844
Pt: 0.357 0.844 0.443
Pt: 0.643 0.156 0.557

Properties
Calculated volume ... 140.5 Å³ per cell
Crystal system ... orthorhombic
Total DFT energy (no corrections) ... -6.254 eV per atom
D(E_F) ... 0.45 states/eV/atom
Space-group type ... Immm, No. 71

***

Entry 2:
Computed, not measured: an optimized crystal structure of PmAlPt at the PBE-GGA level of DFT.

abc: 3.929 4.408 4.408
angles: 120.00 90.00 90.00
Fractional positions:
Al: 0.167 0.333 0.667
Pt: 0.167 0.000 0.000
Pm: 0.667 0.667 0.333

Properties
Calculated volume ... 66.1 Å³ per cell
Crystal system ... hexagonal
Total DFT energy (no corrections) ... -5.824 eV per atom
D(E_F) ... 0.63 states/eV/atom
Space-group type ... P-6m2, No. 187

***

Entry 3:
Computed, not measured: an optimized crystal structure of Pm2AlPt3 at the PBE-GGA level of DFT.

abc: 5.901 5.901 8.512
angles: 106.99 106.99 99.04
Fractional positions:
Pm: 0.250 0.750 0.500
Pm: 0.755 0.755 0.000
Pm: 0.750 0.250 0.500
Pm: 0.245 0.245 0.000
Al: 0.668 0.668 0.335
Al: 0.332 0.332 0.665
Pt: 0.354 0.823 0.176
Pt: 0.177 0.646 0.824
Pt: 0.646 0.177 0.824
Pt: 0.823 0.354 0.176
Pt: 0.172 0.172 0.344
Pt: 0.828 0.828 0.656

Properties
Calculated volume ... 261.4 Å³ per cell
Crystal system ... orthorhombic
Total DFT energy (no corrections) ... -6.272 eV per atom
D(E_F) ... 0.61 states/eV/atom
Space-group type ... Fmmm, No. 69

***

Entry 4:
Computed, not measured: an optimized crystal structure of PmAlPt2 at the PBE-GGA level of DFT.

abc: 4.772 4.772 4.772
angles: 60.00 60.00 60.00
Fractional positions:
Al: 0.500 0.500 0.500
Pt: 0.250 0.250 0.250
Pt: 0.750 0.750 0.750
Pm: 0.000 0.000 0.000

Properties
Calculated volume ... 76.8 Å³ per cell
Crystal system ... cubic
Total DFT energy (no corrections) ... -6.012 eV per atom
D(E_F) ... 0.63 states/eV/atom
Space-group type ... Fm-3m, No. 225

***

Entry 5:
Computed, not measured: an optimized crystal structure of Pm2Al2Pt3 at the PBE-GGA level of DFT.

abc: 3.902 5.841 7.285
angles: 114.63 90.00 109.52
Fractional positions:
Pm: 0.871 0.741 0.237
Pm: 0.129 0.259 0.763
Al: 0.853 0.705 0.769
Al: 0.147 0.295 0.231
Pt: 0.500 0.000 0.000
Pt: 0.622 0.245 0.442
Pt: 0.378 0.755 0.558

Properties
Calculated volume ... 140.4 Å³ per cell
Crystal system ... monoclinic
Total DFT energy (no corrections) ... -6.041 eV per atom
D(E_F) ... 0.57 states/eV/atom
Space-group type ... C2/m, No. 12

***

Entry 6:
Computed, not measured: an optimized crystal structure of PmAl2Pt at the PBE-GGA level of DFT.

abc: 4.256 5.808 7.017
angles: 90.00 90.00 111.50
Fractional positions:
Pm: 0.936 0.871 0.250
Pm: 0.064 0.129 0.750
Al: 0.345 0.691 0.555
Al: 0.655 0.309 0.445
Al: 0.655 0.309 0.055
Al: 0.345 0.691 0.945
Pt: 0.215 0.430 0.250
Pt: 0.785 0.570 0.750

Properties
Calculated volume ... 161.4 Å³ per cell
Crystal system ... orthorhombic
Total DFT energy (no corrections) ... -5.531 eV per atom
D(E_F) ... 0.54 states/eV/atom
Space-group type ... Cmcm, No. 63

***

Entry 7:
Computed, not measured: an optimized crystal structure of Pm3AlPt at the PBE-GGA level of DFT.

abc: 7.328 7.328 7.328
angles: 90.00 90.00 90.00
Last column: magnetic moment on the atom in μB.
Fractional positions:
Pm: 0.500 0.500 0.500  0.30
Pm: 0.234 0.234 0.234  0.05
Pm: 0.766 0.766 0.234  0.05
Pm: 0.766 0.234 0.766  0.05
Pm: 0.234 0.766 0.766  0.05
Pm: 0.234 0.234 0.766  0.05
Pm: 0.766 0.766 0.766  0.05
Pm: 0.234 0.766 0.234  0.05
Pm: 0.766 0.234 0.234  0.05
Al: 0.000 0.500 0.500  0.00
Al: 0.500 0.000 0.500  0.00
Al: 0.500 0.500 0.000  0.00
Pt: 0.500 0.000 0.000  0.01
Pt: 0.000 0.500 0.000  0.01
Pt: 0.000 0.000 0.500  0.01

Properties
Calculated volume ... 393.5 Å³ per cell
Crystal system ... cubic
Total DFT energy (no corrections) ... -5.306 eV per atom
D(E_F) ... 1.05 states/eV/atom
Space-group type ... Pm-3m, No. 221

***

Entry 8:
Computed, not measured: an optimized crystal structure of Pm3AlPt2 at the PBE-GGA level of DFT.

abc: 7.620 7.620 7.620
angles: 61.58 61.58 61.58
Fractional positions:
Pm: 0.470 0.030 0.750
Pm: 0.030 0.750 0.470
Pm: 0.750 0.470 0.030
Pm: 0.530 0.970 0.250
Pm: 0.970 0.250 0.530
Pm: 0.250 0.530 0.970
Al: 0.500 0.500 0.500
Al: 0.000 0.000 0.000
Pt: 0.364 0.364 0.364
Pt: 0.136 0.136 0.136
Pt: 0.864 0.864 0.864
Pt: 0.636 0.636 0.636

Properties
Calculated volume ... 323.9 Å³ per cell
Crystal system ... trigonal
Total DFT energy (no corrections) ... -5.807 eV per atom
D(E_F) ... 1.05 states/eV/atom
Space-group type ... R-3c, No. 167

***

Entry 9:
Computed, not measured: an optimized crystal structure of PmAl2Pt8 at the PBE-GGA level of DFT.

abc: 5.372 5.372 7.973
angles: 90.00 90.00 90.00
Fractional positions:
Pm: 0.500 0.500 0.500
Al: 0.500 0.000 0.000
Al: 0.000 0.500 0.000
Pt: 0.754 0.754 0.216
Pt: 0.754 0.246 0.784
Pt: 0.754 0.754 0.784
Pt: 0.754 0.246 0.216
Pt: 0.246 0.754 0.216
Pt: 0.246 0.754 0.784
Pt: 0.246 0.246 0.216
Pt: 0.246 0.246 0.784

Properties
Calculated volume ... 230.1 Å³ per cell
Crystal system ... tetragonal
Total DFT energy (no corrections) ... -5.932 eV per atom
D(E_F) ... 0.63 states/eV/atom
Space-group type ... P4/mmm, No. 123

***

Entry 10:
Computed, not measured: an optimized crystal structure of Pm2PuAl4Pt3 at the PBE-GGA level of DFT.

abc: 4.280 4.280 11.416
angles: 90.00 90.00 90.00
Last column: magnetic moment on the atom in μB.
Fractional positions:
Pm: 0.500 0.000 0.229  0.05
Pm: 0.000 0.500 0.771  0.05
Pu: 0.500 0.500 0.500  5.31
Al: 0.500 0.500 0.000  0.00
Al: 0.000 0.000 0.000  0.00
Al: 0.500 0.000 0.670  0.03
Al: 0.000 0.500 0.330  0.03
Pt: 0.000 0.000 0.500  -0.04
Pt: 0.500 0.000 0.881  0.02
Pt: 0.000 0.500 0.119  0.02

Properties
Calculated volume ... 209.1 Å³ per cell
Crystal system ... tetragonal
Total DFT energy (no corrections) ... -6.501 eV per atom
D(E_F) ... 1.34 states/eV/atom
Space-group type ... P-4m2, No. 115

***

Entry 11:
Computed, not measured: an optimized crystal structure of Pm2Al4Pt3Rh at the PBE-GGA level of DFT.

abc: 4.268 4.268 10.345
angles: 90.00 90.00 90.00
Fractional positions:
Pm: 0.500 0.000 0.253
Pm: 0.000 0.500 0.747
Al: 0.500 0.500 0.000
Al: 0.000 0.000 0.000
Al: 0.500 0.000 0.625
Al: 0.000 0.500 0.375
Pt: 0.000 0.000 0.500
Pt: 0.500 0.000 0.866
Pt: 0.000 0.500 0.134
Rh: 0.500 0.500 0.500

Properties
Calculated volume ... 188.5 Å³ per cell
Crystal system ... tetragonal
Total DFT energy (no corrections) ... -6.092 eV per atom
D(E_F) ... 0.73 states/eV/atom
Space-group type ... P-4m2, No. 115